A plane-wave DFT calculation with PBE was carried out for LiHfSbI2 after structural relaxation.

The space group is P4/mmm (No. 123) and the conventional cell measures 5.7676, 5.7676 and 5.6093 Å, with angles of 90.00, 90.00 and 90.00 degrees. The asymmetric unit holds Li at (0.0000, 0.0000, 0.0000), Hf at (0.5000, 0.5000, 0.5000), Sb at (0.5000, 0.5000, 0.0000) and I at (0.0000, 0.5000, 0.5000).

A plane-wave DFT calculation with PBE was carried out for LiHf2SbI after structural relaxation.

The space group is P4/mmm (No. 123) and the conventional cell measures 5.2309, 5.2309 and 5.9599 Å, with angles of 90.00, 90.00 and 90.00 degrees. The asymmetric unit holds Li at (0.0000, 0.0000, 0.0000), Hf at (0.0000, 0.5000, 0.5000), Sb at (0.5000, 0.5000, 0.0000) and I at (0.5000, 0.5000, 0.5000).

A plane-wave DFT calculation with PBE was carried out for LiHfSbI2 after structural relaxation.

The space group is P4/mmm (No. 123) and the conventional cell measures 4.9990, 4.9990 and 5.6105 Å, with angles of 90.00, 90.00 and 90.00 degrees. The asymmetric unit holds Li at (0.0000, 0.0000, 0.0000), Hf at (0.5000, 0.5000, 0.5000), Sb at (0.0000, 0.0000, 0.5000) and I at (0.0000, 0.5000, 0.0000).

A plane-wave DFT calculation with PBE was carried out for LiHfSiI2 after structural relaxation.

The space group is P4/mmm (No. 123) and the conventional cell measures 5.0380, 5.0380 and 4.9689 Å, with angles of 90.00, 90.00 and 90.00 degrees. The asymmetric unit holds Li at (0.0000, 0.0000, 0.0000), Hf at (0.5000, 0.5000, 0.5000), Si at (0.0000, 0.0000, 0.5000) and I at (0.0000, 0.5000, 0.0000).

A plane-wave DFT calculation with PBE was carried out for LiHfTiI2 after structural relaxation.

The space group is P4/mmm (No. 123) and the conventional cell measures 5.2754, 5.2754 and 5.0288 Å, with angles of 90.00, 90.00 and 90.00 degrees. The asymmetric unit holds Li at (0.0000, 0.0000, 0.0000), Hf at (0.5000, 0.5000, 0.0000), Ti at (0.0000, 0.0000, 0.5000) and I at (0.0000, 0.5000, 0.5000).

A plane-wave DFT calculation with PBE was carried out for LiHf2WI after structural relaxation.

The space group is P4/mmm (No. 123) and the conventional cell measures 5.0236, 5.0236 and 6.0377 Å, with angles of 90.00, 90.00 and 90.00 degrees. The asymmetric unit holds Li at (0.0000, 0.0000, 0.0000), Hf at (0.0000, 0.5000, 0.5000), W at (0.5000, 0.5000, 0.5000) and I at (0.5000, 0.5000, 0.0000).

A plane-wave DFT calculation with PBE was carried out for LiYHf2I after structural relaxation.

The space group is P4/mmm (No. 123) and the conventional cell measures 5.3457, 5.3457 and 5.5665 Å, with angles of 90.00, 90.00 and 90.00 degrees. The asymmetric unit holds Li at (0.0000, 0.0000, 0.0000), Y at (0.0000, 0.0000, 0.5000), Hf at (0.0000, 0.5000, 0.5000) and I at (0.5000, 0.5000, 0.0000).

A plane-wave DFT calculation with PBE was carried out for Li2HfZrI after structural relaxation.

The space group is P4/mmm (No. 123) and the conventional cell measures 5.4934, 5.4934 and 5.1236 Å, with angles of 90.00, 90.00 and 90.00 degrees. The asymmetric unit holds Li at (0.0000, 0.5000, 0.0000), Hf at (0.0000, 0.0000, 0.5000), Zr at (0.0000, 0.0000, 0.0000) and I at (0.5000, 0.5000, 0.5000).

A plane-wave DFT calculation with PBE was carried out for HfMg2I after structural relaxation.

The space group is I-42d (No. 122) and the conventional cell measures 8.3140, 8.3140 and 6.0281 Å, with angles of 90.00, 90.00 and 90.00 degrees. The asymmetric unit holds Hf at (0.0000, 0.0000, 0.0000), Mg at (0.2426, 0.2500, 0.6250) and I at (0.0000, 0.0000, 0.5000).

A plane-wave DFT calculation with PBE was carried out for Hf2MgI after structural relaxation.

The space group is I-42d (No. 122) and the conventional cell measures 4.2432, 4.2432 and 21.9832 Å, with angles of 90.00, 90.00 and 90.00 degrees. The asymmetric unit holds Hf at (0.2466, 0.2500, 0.1250), Mg at (0.0000, 0.0000, 0.0000) and I at (0.0000, 0.0000, 0.5000).

A plane-wave DFT calculation with PBE was carried out for HfMg3I after structural relaxation.

The space group is Pm-3m (No. 221) and the conventional cell measures 5.9043, 5.9043 and 5.9043 Å, with angles of 90.00, 90.00 and 90.00 degrees. The asymmetric unit holds Hf at (0.0000, 0.0000, 0.0000), Mg at (0.0000, 0.0000, 0.5000) and I at (0.5000, 0.5000, 0.5000).

A plane-wave DFT calculation with PBE was carried out for HfMg2I8 after structural relaxation.

The space group is C2/m (No. 12) and the conventional cell measures 16.6970, 8.7158 and 7.1191 Å, with angles of 90.00, 90.70 and 90.00 degrees. The asymmetric unit holds Hf at (0.0000, 0.0000, 0.0000), Mg at (0.1607, 0.0000, 0.4030), I at (0.0655, 0.2338, 0.2393), I at (0.1482, 0.0000, 0.7978) and I at (0.1859, 0.5000, 0.6715).

Quick rundown of uncorrected energy, same order as above: -4.03 -4.31 -3.42 -3.41 -3.74 -6.21 -4.58 -3.72 -3.22 -5.30 -2.29 -3.21 eV/atom
Quick rundown of ρ, same order as above: 4.99 6.24 6.64 6.15 5.78 7.35 6.05 4.41 5.64 8.53 3.05 3.98 g/cm³
Quick rundown of raw formation energy, same order as above: -207 1192 401 666 836 1052 1385 1051 455 464 972 -886 meV/atom